<P>
MnCo2F PBE with a Hubbard U optimized geometry; crystal system = tetragonal; symmetry = No. 122; M_tot = 8.8 μB per formula unit
1.0
7.096 0.000 0.000
0.000 7.096 0.000
3.548 3.548 2.307
F Co Mn
2 4 2
direct
0.500 0.500 0.000
0.250 0.750 0.500
0.875 0.808 0.750
0.192 0.625 0.250
0.558 0.125 0.250
0.375 0.442 0.750
0.000 0.000 0.000
0.750 0.250 0.500

=====

<Q>
MnCo2F PBE with a Hubbard U optimized geometry; crystal system = cubic; symmetry = No. 225; M_tot = 7.9 μB per formula unit
1.0
-2.810 -2.809 1.313
-3.125 -1.170 -2.524
-0.035 -3.849 -1.641
Co Mn F
2 1 1
direct
0.750 0.750 0.750
0.250 0.250 0.250
0.500 0.500 0.500
0.000 0.000 0.000

=====

Verdict on stability: <P> comes out on top.

=====

<P>
CoMoF2 PBE with a Hubbard U optimized geometry; crystal system = trigonal; symmetry = No. 166; M_tot = 2.2 μB per formula unit
1.0
-6.379 3.045 2.396
-6.298 0.737 3.937
-4.912 3.000 4.752
Co F Mo
1 2 1
direct
0.500 0.500 0.500
0.099 0.099 0.099
0.901 0.901 0.901
0.000 0.000 0.000

=====

<Q>
CoMoF2 PBE with a Hubbard U optimized geometry; crystal system = trigonal; symmetry = No. 166; M_tot = 1.3 μB per formula unit
1.0
6.394 -4.536 1.083
6.080 -4.685 -1.925
7.529 -2.343 -0.668
F Co Mo
2 1 1
direct
0.920 0.920 0.920
0.080 0.080 0.080
0.000 0.000 0.000
0.500 0.500 0.500

=====

Verdict on stability: <P> comes out on top.

=====

<P>
CoMo2F PBE with a Hubbard U optimized geometry; crystal system = cubic; symmetry = No. 225; M_tot = 0.0 μB per formula unit
1.0
1.893 -0.651 3.660
-1.556 -2.787 2.686
2.022 -3.583 0.694
F Co Mo
1 1 2
direct
0.000 0.000 0.000
0.500 0.500 0.500
0.750 0.750 0.750
0.250 0.250 0.250

=====

<Q>
CoMo2F PBE with a Hubbard U optimized geometry; crystal system = tetragonal; symmetry = No. 122; M_tot = 3.2 μB per formula unit
1.0
6.365 0.000 0.000
0.000 6.365 0.000
3.182 3.182 2.815
Mo Co F
4 2 2
direct
0.595 0.125 0.250
0.375 0.405 0.750
0.875 0.845 0.750
0.155 0.625 0.250
0.750 0.250 0.500
0.000 0.000 0.000
0.250 0.750 0.500
0.500 0.500 0.000

=====

Verdict on stability: <Q> comes out on top.

=====

<P>
Co3MoF PBE with a Hubbard U optimized geometry; crystal system = cubic; symmetry = No. 221; M_tot = 5.6 μB per formula unit
1.0
-4.282 1.627 -1.295
0.606 -1.860 -4.340
-1.990 -4.069 1.465
Co Mo F
3 1 1
direct
0.000 0.500 0.000
0.000 0.000 0.500
0.500 0.000 0.000
0.000 0.000 0.000
0.500 0.500 0.500

=====

<Q>
Co3MoF PBE with a Hubbard U optimized geometry; crystal system = cubic; symmetry = No. 221; M_tot = 9.9 μB per formula unit
1.0
4.166 0.000 0.000
0.000 4.166 0.000
0.000 0.000 4.166
Co Mo F
3 1 1
direct
0.000 0.000 0.500
0.500 0.000 0.000
0.000 0.500 0.000
0.500 0.500 0.500
0.000 0.000 0.000

=====

Verdict on stability: <Q> comes out on top.